Entry from the Alexandria database: a relaxed structure of NiAg2HgF8 (PBE with a Hubbard U).

a = 5.4625 Å, b = 5.4625 Å, c = 6.7976 Å
α = 113.69°, β = 113.69°, γ = 90.00°
Atoms (fractional coordinates):
F: 0.6968 0.6939 0.7843
Ag: 0.2500 0.7500 0.5000
Ni: 0.0000 0.0000 0.0000
F: 0.9097 0.3032 0.2157
F: 0.4303 0.4437 0.2813
F: 0.1624 0.5697 0.7187
F: 0.0874 0.0903 0.7843
F: 0.3061 0.9126 0.2157
Ag: 0.5000 0.5000 0.0000
F: 0.8511 0.8376 0.2813
Hg: 0.7500 0.2500 0.5000
F: 0.5563 0.1489 0.7187

**Space group**: I-4, No. 82
**Fermi-level density of states**: 0.6143 states/eV per atom
**E**: -3.27 eV per atom